Compound: CrAsI2
Source: Alexandria
Functional: GGA-PBE
Structure: optimized geometry

The space group is Fm-3m (No. 225) and the conventional cell measures 7.0739, 7.0739 and 7.0739 Å, with angles of 90.00, 90.00 and 90.00 degrees. Symmetry generates all atoms from Cr at (0.0000, 0.0000, 0.0000), As at (0.0000, 0.0000, 0.5000) and I at (0.2500, 0.2500, 0.2500).

The value obtained for the uncorrected formation energy is 1.10 eV per atom. The calculation puts the magnetic moment at 0.0 μB/f.u. The calculation puts the energy relative to the lowest polymorph listed for this composition at 146 meV per atom. The calculation puts the density of states at the Fermi level at 5.22 states/eV/f.u.